The following is a PBE calculation of a geometry-optimized ZrMoW structure, from the Alexandria database.

Results
Energy above the most stable polymorph in this dataset in eV/f.u.: 0.65

abc: 5.615 4.674 9.767
angles: 90.00 124.35 90.00
Sites, in units of the cell vectors:
Mo 0.659 0.000 0.826
Mo 0.341 0.000 0.174
Mo 0.659 0.500 0.326
Mo 0.341 0.500 0.674
Zr 0.827 0.000 0.158
Zr 0.173 0.000 0.842
Zr 0.827 0.500 0.658
Zr 0.173 0.500 0.342
W 0.000 0.500 0.000
W 0.000 0.000 0.500
W 0.500 0.000 0.500
W 0.500 0.500 0.000


The following is a PBE calculation of a geometry-optimized ZrMoW2 structure, from the Alexandria database.

Results
Energy above the most stable polymorph in this dataset in eV/f.u.: 0.22

abc: 5.345 5.400 2.821
angles: 80.18 79.46 116.56
Sites, in units of the cell vectors:
Mo 0.500 0.500 0.000
W 0.000 0.000 0.000
W 0.500 0.000 0.500
Zr 0.000 0.500 0.500


The following is a PBE calculation of a geometry-optimized ZrMoW structure, from the Alexandria database.

Results
Energy above the most stable polymorph in this dataset in eV/f.u.: 0.64

abc: 4.583 4.583 2.923
angles: 90.00 90.00 120.00
Sites, in units of the cell vectors:
Mo 0.000 0.000 0.450
Zr 0.333 0.667 0.111
W 0.667 0.333 0.740


The following is a PBE calculation of a geometry-optimized ZrMo12W6 structure, from the Alexandria database.

abc: 7.221 7.221 7.221
angles: 98.09 98.09 98.09
Sites, in units of the cell vectors:
Zr 0.000 0.000 0.000
Mo 0.871 0.129 0.500
Mo 0.473 0.160 0.473
Mo 0.473 0.473 0.160
Mo 0.840 0.527 0.527
Mo 0.527 0.527 0.840
Mo 0.527 0.840 0.527
Mo 0.500 0.871 0.129
Mo 0.129 0.500 0.871
Mo 0.129 0.871 0.500
Mo 0.500 0.129 0.871
Mo 0.871 0.500 0.129
Mo 0.160 0.473 0.473
W 0.805 0.290 0.805
W 0.805 0.805 0.290
W 0.290 0.805 0.805
W 0.195 0.195 0.710
W 0.195 0.710 0.195
W 0.710 0.195 0.195


The following is a PBE calculation of a geometry-optimized ZrMoW2 structure, from the Alexandria database.

Results
Energy above the most stable polymorph in this dataset in eV/f.u.: 0.01

abc: 3.232 3.232 6.627
angles: 90.00 90.00 90.00
Sites, in units of the cell vectors:
Mo 0.500 0.500 0.766
W 0.000 0.000 0.999
W 0.500 0.500 0.233
Zr 0.000 0.000 0.501


The following is a PBE calculation of a geometry-optimized ZrMoW2 structure, from the Alexandria database.

Results
Energy above the most stable polymorph in this dataset in eV/f.u.: 0.23

abc: 2.819 2.819 9.261
angles: 90.00 90.00 110.41
Sites, in units of the cell vectors:
Mo 0.500 0.500 0.750
W 0.000 0.000 0.984
W 0.000 0.000 0.516
Zr 0.500 0.500 0.250


The following is a PBE calculation of a geometry-optimized ZrMo14W structure, from the Alexandria database.

abc: 5.516 5.516 9.004
angles: 90.00 90.00 109.52
Sites, in units of the cell vectors:
Zr 0.125 0.875 0.500
Mo 0.125 0.875 0.000
Mo 0.625 0.375 0.000
Mo 0.125 0.375 0.500
Mo 0.125 0.375 0.000
Mo 0.625 0.875 0.500
Mo 0.625 0.875 0.000
Mo 0.378 0.128 0.756
Mo 0.378 0.128 0.244
Mo 0.872 0.622 0.756
Mo 0.872 0.622 0.244
Mo 0.376 0.624 0.752
Mo 0.376 0.624 0.248
Mo 0.874 0.126 0.752
Mo 0.874 0.126 0.248
W 0.625 0.375 0.500


The following is a PBE calculation of a geometry-optimized ZrMoW2 structure, from the Alexandria database.

Results
Energy above the most stable polymorph in this dataset in eV/f.u.: 0.00

abc: 4.598 4.598 4.598
angles: 60.00 60.00 60.00
Sites, in units of the cell vectors:
Mo 0.500 0.500 0.500
W 0.000 0.000 0.000
W 0.750 0.750 0.750
Zr 0.250 0.250 0.250


The following is a PBE calculation of a geometry-optimized ZrMoW structure, from the Alexandria database.

Results
Energy above the most stable polymorph in this dataset in eV/f.u.: 0.53

abc: 5.737 4.554 9.918
angles: 90.00 124.29 90.00
Sites, in units of the cell vectors:
Mo 0.632 0.000 0.863
Mo 0.632 0.500 0.363
Mo 0.469 0.000 0.537
Mo 0.469 0.500 0.037
Zr 0.117 0.000 0.853
Zr 0.117 0.500 0.353
Zr 0.287 0.000 0.195
Zr 0.287 0.500 0.695
W 0.766 0.000 0.177
W 0.766 0.500 0.677
W 0.923 0.000 0.503
W 0.923 0.500 0.003


The following is a PBE calculation of a geometry-optimized ZrMoW structure, from the Alexandria database.

Results
Energy above the most stable polymorph in this dataset in eV/f.u.: 1.40

abc: 3.118 3.118 6.566
angles: 90.00 90.00 120.00
Sites, in units of the cell vectors:
Mo 0.000 0.000 0.022
W 0.667 0.333 0.310
Zr 0.333 0.667 0.668


The following is a PBE calculation of a geometry-optimized ZrMoW3 structure, from the Alexandria database.

Results
Energy above the most stable polymorph in this dataset in eV/f.u.: 0.00

abc: 4.744 4.744 4.744
angles: 90.00 90.00 90.00
Sites, in units of the cell vectors:
Mo 0.000 0.000 0.000
Zr 0.500 0.500 0.500
W 0.000 0.500 0.000
W 0.000 0.000 0.500
W 0.500 0.000 0.000


The following is a PBE calculation of a geometry-optimized ZrMoW structure, from the Alexandria database.

Results
Energy above the most stable polymorph in this dataset in eV/f.u.: 0.64

abc: 5.851 4.546 9.883
angles: 90.00 126.21 90.00
Sites, in units of the cell vectors:
Mo 0.000 0.000 0.000
Mo 0.000 0.500 0.500
Mo 0.500 0.500 0.500
Mo 0.500 0.000 0.000
Zr 0.321 0.000 0.660
Zr 0.679 0.000 0.340
Zr 0.321 0.500 0.160
Zr 0.679 0.500 0.840
W 0.163 0.000 0.326
W 0.837 0.000 0.674
W 0.163 0.500 0.826
W 0.837 0.500 0.174


| no. | formation energy (eV per atom) | total moment (μB per formula unit) |
| --- | --- | --- |
| 1 | 0.073 | 0.0 |
| 2 | 0.079 | 0.0 |
| 3 | 0.070 | 0.0 |
| 4 | 0.931 | 0.0 |
| 5 | 0.025 | 0.0 |
| 6 | 0.082 | 0.0 |
| 7 | -0.024 | 0.0 |
| 8 | 0.024 | 0.0 |
| 9 | 0.034 | 0.0 |
| 10 | 0.325 | 0.0 |
| 11 | 1.652 | 0.0 |
| 12 | 0.070 | 0.0 |